Entry 1:
VASP calculation (PBE-GGA) on an optimized crystal structure of BaLiV.

Calculated values
- Distance to the lowest polymorph of the same formula: 0.19 eV/f.u.
- Final energy: -0.140 hartree per atom

Cell and atoms, written as CIF:
```
data_BaLiV
_chemical_formula_sum 'Ba4 Li4 V4'
_cell_length_a 8.317
_cell_length_b 11.702
_cell_length_c 4.386
_cell_angle_alpha 90.00
_cell_angle_beta 120.46
_cell_angle_gamma 90.00
_space_group_name_H-M_alt 'C 1 m 1'
_space_group_IT_number 8
loop_
_space_group_symop_operation_xyz
'x,y,z'
'x,-y,z'
'x+1/2,y+1/2,z'
'x+1/2,-y+1/2,z'
loop_
_atom_site_label
_atom_site_fract_x
_atom_site_fract_y
_atom_site_fract_z
Ba1 0.000 0.250 0.000
Li1 0.074 0.000 0.460
Li2 0.358 0.000 0.229
V1 0.183 0.500 0.918
V2 0.262 0.500 0.594
```

=====

Entry 2:
VASP calculation (PBE-GGA) on an optimized crystal structure of BaLiV.

Calculated values
- Distance to the lowest polymorph of the same formula: 0.17 eV/f.u.
- Final energy: -0.140 hartree per atom

Cell and atoms, written as CIF:
```
data_BaLiV
_chemical_formula_sum 'Ba2 Li2 V2'
_cell_length_a 4.176
_cell_length_b 6.354
_cell_length_c 8.040
_cell_angle_alpha 67.87
_cell_angle_beta 88.44
_cell_angle_gamma 71.15
_space_group_name_H-M_alt 'P -1'
_space_group_IT_number 2
loop_
_space_group_symop_operation_xyz
'x,y,z'
'-x,-y,-z'
loop_
_atom_site_label
_atom_site_fract_x
_atom_site_fract_y
_atom_site_fract_z
Ba1 0.095 0.350 0.251
Li1 0.378 0.768 0.328
V1 0.213 0.979 0.959
```

=====

Entry 3:
VASP calculation (PBE-GGA) on an optimized crystal structure of BaLiV.

Calculated values
- Distance to the lowest polymorph of the same formula: 0.33 eV/f.u.
- Final energy: -0.138 hartree per atom

Cell and atoms, written as CIF:
```
data_BaLiV
_chemical_formula_sum 'Ba4 Li4 V4'
_cell_length_a 7.439
_cell_length_b 3.922
_cell_length_c 11.683
_cell_angle_alpha 90.00
_cell_angle_beta 90.00
_cell_angle_gamma 90.00
_space_group_name_H-M_alt 'P n m a'
_space_group_IT_number 62
loop_
_space_group_symop_operation_xyz
'x,y,z'
'-x,-y,-z'
'-x+1/2,-y,z+1/2'
'x+1/2,y,-z+1/2'
'x+1/2,-y+1/2,-z+1/2'
'-x+1/2,y+1/2,z+1/2'
'-x,y+1/2,-z'
'x,-y+1/2,z'
loop_
_atom_site_label
_atom_site_fract_x
_atom_site_fract_y
_atom_site_fract_z
Ba1 0.177 0.250 0.215
Li1 0.164 0.250 0.946
V1 0.045 0.250 0.520
```

=====

Entry 4:
VASP calculation (PBE-GGA) on an optimized crystal structure of BaLiV.

Calculated values
- Distance to the lowest polymorph of the same formula: 0.20 eV/f.u.
- Final energy: -0.139 hartree per atom

Cell and atoms, written as CIF:
```
data_BaLiV
_chemical_formula_sum 'Ba2 Li2 V2'
_cell_length_a 3.426
_cell_length_b 6.348
_cell_length_c 7.965
_cell_angle_alpha 84.34
_cell_angle_beta 82.99
_cell_angle_gamma 84.91
_space_group_name_H-M_alt 'P -1'
_space_group_IT_number 2
loop_
_space_group_symop_operation_xyz
'x,y,z'
'-x,-y,-z'
loop_
_atom_site_label
_atom_site_fract_x
_atom_site_fract_y
_atom_site_fract_z
Ba1 0.011 0.100 0.256
Li1 0.257 0.594 0.144
V1 0.358 0.389 0.558
```

=====

Entry 5:
VASP calculation (PBE-GGA) on an optimized crystal structure of BaLi3V.

Calculated values
- Distance to the lowest polymorph of the same formula: 4.18 eV/f.u.
- Final energy: -0.071 hartree per atom

Cell and atoms, written as CIF:
```
data_BaLi3V
_chemical_formula_sum 'Ba1 Li3 V1'
_cell_length_a 5.303
_cell_length_b 5.303
_cell_length_c 5.303
_cell_angle_alpha 90.00
_cell_angle_beta 90.00
_cell_angle_gamma 90.00
_space_group_name_H-M_alt 'P m -3 m'
_space_group_IT_number 221
_space_group_name_Hall '-P 4 2 3'
loop_
_atom_site_label
_atom_site_fract_x
_atom_site_fract_y
_atom_site_fract_z
Ba1 0.000 0.000 0.000
Li1 0.000 0.000 0.500
V1 0.500 0.500 0.500
```

=====

Entry 6:
VASP calculation (PBE-GGA) on an optimized crystal structure of BaLiV.

Calculated values
- Distance to the lowest polymorph of the same formula: 1.12 eV/f.u.
- Final energy: -0.128 hartree per atom

Cell and atoms, written as CIF:
```
data_BaLiV
_chemical_formula_sum 'Ba1 Li1 V1'
_cell_length_a 5.5165
_cell_length_b 5.5165
_cell_length_c 3.1916
_cell_angle_alpha 90.00
_cell_angle_beta 90.00
_cell_angle_gamma 120.00
_space_group_name_H-M_alt 'P -6 m 2'
_space_group_IT_number 187
_space_group_name_Hall 'P -6 2'
loop_
_atom_site_label
_atom_site_fract_x
_atom_site_fract_y
_atom_site_fract_z
Ba1 0.0000 0.0000 0.0000
Li1 0.6667 0.3333 0.5000
V1 0.3333 0.6667 0.0000
```

=====

Number 1: formation enthalpy at 0 K 0.52 eV/atom, mass density 3.524 g cm⁻³. Number 2: formation enthalpy at 0 K 0.51 eV/atom, mass density 3.487 g cm⁻³. Number 3: formation enthalpy at 0 K 0.57 eV/atom, mass density 3.804 g cm⁻³. Number 4: formation enthalpy at 0 K 0.53 eV/atom, mass density 3.800 g cm⁻³. Number 5: formation enthalpy at 0 K 1.42 eV/atom, mass density 2.328 g cm⁻³. Number 6: formation enthalpy at 0 K 0.83 eV/atom, mass density 3.854 g cm⁻³.